# Ac4SiSe3, optimized geometry, DFT PBE
# Uncorrected formation energy (eV/atom): -1.6100
# Spin magnetization (μB per cell): 0.00
data_Ac4SiSe3
_chemical_formula_sum 'Ac4 Si1 Se3'
_cell_length_a 6.360
_cell_length_b 6.360
_cell_length_c 6.360
_cell_angle_alpha 90.00
_cell_angle_beta 90.00
_cell_angle_gamma 90.00
_symmetry_space_group_name_H-M 'P m -3 m'
_symmetry_Int_Tables_number 221
_symmetry_space_group_name_Hall '-P 4 2 3'
loop_
_atom_site_label
_atom_site_fract_x
_atom_site_fract_y
_atom_site_fract_z
Ac1 0.000 0.000 0.000
Ac2 0.000 0.500 0.500
Si1 0.500 0.500 0.500
Se1 0.000 0.000 0.500